one:
Material: Mn2Tl3Cl7
Method: DFT, GGA-PBE
State: relaxed

a b c (Å): 5.066 5.066 25.986
angles (deg): 90.00 90.00 90.00
Space group I4/mmm (No. 139)
Unique sites:
Mn 0.000 0.000 0.099 (multiplicity 4)
Tl 0.000 0.000 0.318 (multiplicity 4)
Tl 0.000 0.000 0.500 (multiplicity 2)
Cl 0.000 0.000 0.000 (multiplicity 2)
Cl 0.000 0.000 0.194 (multiplicity 4)
Cl 0.000 0.500 0.096 (multiplicity 8)

Output
V: 27.79 Å³/atom
spin magnetization: 20.0 μB/cell

two:
Material: Mn2Tl3Cl7
Method: DFT, GGA-PBE
State: relaxed

a b c (Å): 5.120 25.642 5.004
angles (deg): 90.00 90.00 90.00
Space group Cmmm (No. 65)
Unique sites:
Mn 0.000 0.101 0.000 (multiplicity 4)
Tl 0.000 0.317 0.500 (multiplicity 4)
Tl 0.000 0.500 0.500 (multiplicity 2)
Cl 0.000 0.000 0.000 (multiplicity 2)
Cl 0.000 0.097 0.500 (multiplicity 4)
Cl 0.000 0.196 0.000 (multiplicity 4)
Cl 0.000 0.403 0.000 (multiplicity 4)

Output
V: 27.37 Å³/atom
spin magnetization: 20.0 μB/cell

Stability ranking, top and bottom: one is the most stable and two is the least stable.

one:
Material: MnTl2Cl5
Method: DFT, GGA-PBE
State: relaxed

a b c (Å): 6.953 6.953 4.966
angles (deg): 90.00 90.00 90.00
Space group P4/mmm (No. 123)
Unique sites:
Mn 0.000 0.000 0.000 (multiplicity 1)
Tl 0.000 0.500 0.500 (multiplicity 2)
Cl 0.000 0.000 0.500 (multiplicity 1)
Cl 0.237 0.237 0.000 (multiplicity 4)

Output
V: 30.01 Å³/atom
spin magnetization: 4.0 μB/cell

two:
Material: MnTl2Cl5
Method: DFT, GGA-PBE
State: relaxed

a b c (Å): 7.202 7.202 9.583
angles (deg): 90.00 90.00 90.00
Space group I4mm (No. 107)
Unique sites:
Mn 0.000 0.000 0.000 (multiplicity 2)
Tl 0.000 0.500 0.247 (multiplicity 4)
Cl 0.000 0.000 0.244 (multiplicity 2)
Cl 0.222 0.222 0.962 (multiplicity 8)

Output
V: 31.07 Å³/atom
spin magnetization: 8.0 μB/cell

Stability ranking, top and bottom: two is the most stable and one is the least stable.

one:
Material: MnTl3Cl
Method: DFT, GGA-PBE
State: relaxed

a b c (Å): 5.779 5.779 5.779
angles (deg): 90.00 90.00 90.00
Space group Pm-3m (No. 221)
Unique sites:
Mn 0.000 0.000 0.000 (multiplicity 1)
Tl 0.000 0.500 0.500 (multiplicity 3)
Cl 0.500 0.500 0.500 (multiplicity 1)

Output
V: 38.60 Å³/atom
spin magnetization: 4.4 μB/cell

two:
Material: MnTl3Cl
Method: DFT, GGA-PBE
State: relaxed

a b c (Å): 5.292 5.292 5.292
angles (deg): 90.00 90.00 90.00
Space group Pm-3m (No. 221)
Unique sites:
Mn 0.000 0.000 0.000 (multiplicity 1)
Tl 0.000 0.000 0.500 (multiplicity 3)
Cl 0.500 0.500 0.500 (multiplicity 1)

Output
V: 29.64 Å³/atom
spin magnetization: 2.8 μB/cell

Stability ranking, top and bottom: two is the most stable and one is the least stable.

one:
Material: Mn2VCl
Method: DFT, GGA-PBE
State: relaxed

a b c (Å): 7.011 7.011 5.192
angles (deg): 90.00 90.00 90.00
Space group I-42d (No. 122)
Unique sites:
Mn 0.227 0.250 0.125 (multiplicity 8)
V 0.000 0.000 0.500 (multiplicity 4)
Cl 0.000 0.000 0.000 (multiplicity 4)

Output
V: 15.95 Å³/atom
spin magnetization: 19.9 μB/cell

two:
Material: Mn2VCl
Method: DFT, GGA-PBE
State: relaxed

a b c (Å): 6.215 6.215 6.215
angles (deg): 90.00 90.00 90.00
Space group Fm-3m (No. 225)
Unique sites:
Mn 0.250 0.250 0.250 (multiplicity 8)
V 0.000 0.000 0.000 (multiplicity 4)
Cl 0.000 0.000 0.500 (multiplicity 4)

Output
V: 15.00 Å³/atom
spin magnetization: 15.0 μB/cell

Stability ranking, top and bottom: one is the most stable and two is the least stable.

one:
Material: MnVCl4
Method: DFT, GGA-PBE
State: relaxed

a b c (Å): 7.324 7.436 10.446
angles (deg): 90.00 90.00 90.00
Space group Imma (No. 74)
Unique sites:
Mn 0.000 0.000 0.000 (multiplicity 4)
V 0.250 0.250 0.250 (multiplicity 4)
Cl 0.000 0.022 0.244 (multiplicity 8)
Cl 0.238 0.250 0.011 (multiplicity 8)

Output
V: 23.71 Å³/atom
spin magnetization: 32.0 μB/cell

two:
Material: MnVCl4
Method: DFT, GGA-PBE
State: relaxed

a b c (Å): 6.422 7.200 8.094
angles (deg): 68.87 80.46 65.92
Space group P-1 (No. 2)
Unique sites:
Mn 0.039 0.273 0.221 (multiplicity 2)
V 0.230 0.596 0.376 (multiplicity 2)
Cl 0.160 0.571 0.092 (multiplicity 2)
Cl 0.169 0.247 0.521 (multiplicity 2)
Cl 0.275 0.938 0.200 (multiplicity 2)
Cl 0.343 0.613 0.648 (multiplicity 2)

Output
V: 26.55 Å³/atom
spin magnetization: 16.0 μB/cell

Stability ranking, top and bottom: one is the most stable and two is the least stable.

one:
Material: MnWCl2
Method: DFT, GGA-PBE
State: relaxed

a b c (Å): 5.481 3.164 9.005
angles (deg): 90.00 103.03 90.00
Space group Cm (No. 8)
Unique sites:
Mn 0.000 0.000 0.000 (multiplicity 2)
W 0.414 0.000 0.217 (multiplicity 2)
Cl 0.099 0.500 0.816 (multiplicity 2)
Cl 0.152 0.000 0.411 (multiplicity 2)

Output
V: 19.01 Å³/atom
spin magnetization: 6.0 μB/cell

two:
Material: MnWCl2
Method: DFT, GGA-PBE
State: relaxed

a b c (Å): 3.1296 3.1296 27.3339
angles (deg): 90.00 90.00 120.00
Space group R3m (No. 160, hexagonal axes)
Unique sites:
Mn 0.0000 0.0000 0.0000 (multiplicity 3)
W 0.0000 0.0000 0.7420 (multiplicity 3)
Cl 0.0000 0.0000 0.2736 (multiplicity 3)
Cl 0.0000 0.0000 0.4723 (multiplicity 3)

Output
V: 19.32 Å³/atom
spin magnetization: 11.6 μB/cell

Stability ranking, top and bottom: one is the most stable and two is the least stable.

one:
Material: MnWCl2
Method: DFT, GGA-PBE
State: relaxed

a b c (Å): 2.942 2.942 10.873
angles (deg): 90.00 90.00 90.00
Space group P4/mmm (No. 123)
Unique sites:
Mn 0.000 0.000 0.000 (multiplicity 1)
W 0.000 0.000 0.500 (multiplicity 1)
Cl 0.500 0.500 0.145 (multiplicity 2)

Output
V: 23.53 Å³/atom
spin magnetization: 6.3 μB/cell

two:
Material: MnWCl2
Method: DFT, GGA-PBE
State: relaxed

a b c (Å): 2.963 2.963 8.527
angles (deg): 90.00 90.00 90.00
Space group P4mm (No. 99)
Unique sites:
Mn 0.000 0.000 0.000 (multiplicity 1)
W 0.500 0.500 0.213 (multiplicity 1)
Cl 0.000 0.000 0.403 (multiplicity 1)
Cl 0.500 0.500 0.821 (multiplicity 1)

Output
V: 18.72 Å³/atom
spin magnetization: 2.9 μB/cell

Stability ranking, top and bottom: two is the most stable and one is the least stable.

one:
Material: Mn3WCl
Method: DFT, GGA-PBE
State: relaxed

a b c (Å): 4.171 4.171 4.171
angles (deg): 90.00 90.00 90.00
Space group Pm-3m (No. 221)
Unique sites:
Mn 0.000 0.000 0.500 (multiplicity 3)
W 0.500 0.500 0.500 (multiplicity 1)
Cl 0.000 0.000 0.000 (multiplicity 1)

Output
V: 14.51 Å³/atom
spin magnetization: 5.4 μB/cell

two:
Material: Mn3WCl
Method: DFT, GGA-PBE
State: relaxed

a b c (Å): 4.780 4.780 4.780
angles (deg): 90.00 90.00 90.00
Space group Pm-3m (No. 221)
Unique sites:
Mn 0.000 0.000 0.500 (multiplicity 3)
W 0.000 0.000 0.000 (multiplicity 1)
Cl 0.500 0.500 0.500 (multiplicity 1)

Output
V: 21.85 Å³/atom
spin magnetization: 8.7 μB/cell

Stability ranking, top and bottom: one is the most stable and two is the least stable.

one:
Material: YMnCl6
Method: DFT, GGA-PBE
State: relaxed

a b c (Å): 6.318 6.344 6.793
angles (deg): 62.18 89.72 63.16
Space group P-1 (No. 2)
Unique sites:
Y 0.000 0.000 0.000 (multiplicity 1)
Mn 0.500 0.000 0.500 (multiplicity 1)
Cl 0.107 0.491 0.252 (multiplicity 2)
Cl 0.274 0.840 0.735 (multiplicity 2)
Cl 0.417 0.857 0.268 (multiplicity 2)

Output
V: 25.93 Å³/atom
spin magnetization: 4.0 μB/cell

two:
Material: YMnCl6
Method: DFT, GGA-PBE
State: relaxed

a b c (Å): 7.974 11.110 6.552
angles (deg): 90.00 111.18 90.00
Space group C2/m (No. 12)
Unique sites:
Y 0.000 0.000 0.000 (multiplicity 2)
Mn 0.000 0.000 0.500 (multiplicity 2)
Cl 0.132 0.151 0.783 (multiplicity 8)
Cl 0.245 0.500 0.599 (multiplicity 4)

Output
V: 33.83 Å³/atom
spin magnetization: 8.0 μB/cell

Stability ranking, top and bottom: two is the most stable and one is the least stable.

one:
Material: YMn3Cl
Method: DFT, GGA-PBE
State: relaxed

a b c (Å): 4.397 4.397 4.397
angles (deg): 90.00 90.00 90.00
Space group Pm-3m (No. 221)
Unique sites:
Y 0.000 0.000 0.000 (multiplicity 1)
Mn 0.000 0.500 0.500 (multiplicity 3)
Cl 0.500 0.500 0.500 (multiplicity 1)

Output
V: 17.00 Å³/atom
spin magnetization: 7.3 μB/cell

two:
Material: YMn3Cl
Method: DFT, GGA-PBE
State: relaxed

a b c (Å): 5.510 5.510 5.510
angles (deg): 90.00 90.00 90.00
Space group Pm-3m (No. 221)
Unique sites:
Y 0.000 0.000 0.000 (multiplicity 1)
Mn 0.000 0.000 0.500 (multiplicity 3)
Cl 0.500 0.500 0.500 (multiplicity 1)

Output
V: 33.45 Å³/atom
spin magnetization: 13.0 μB/cell

Stability ranking, top and bottom: one is the most stable and two is the least stable.

one:
Material: MnZn2Cl
Method: DFT, GGA-PBE
State: relaxed

a b c (Å): 4.809 4.809 2.985
angles (deg): 90.00 90.00 90.00
Space group P4/mmm (No. 123)
Unique sites:
Mn 0.000 0.000 0.000 (multiplicity 1)
Zn 0.000 0.500 0.500 (multiplicity 2)
Cl 0.500 0.500 0.000 (multiplicity 1)

Output
V: 17.26 Å³/atom
spin magnetization: 3.6 μB/cell

two:
Material: MnZn2Cl
Method: DFT, GGA-PBE
State: relaxed

a b c (Å): 6.904 6.904 6.904
angles (deg): 90.00 90.00 90.00
Space group Fm-3m (No. 225)
Unique sites:
Mn 0.000 0.000 0.000 (multiplicity 4)
Zn 0.250 0.250 0.250 (multiplicity 8)
Cl 0.000 0.000 0.500 (multiplicity 4)

Output
V: 20.56 Å³/atom
spin magnetization: 20.2 μB/cell

three:
Material: MnZn2Cl
Method: DFT, GGA-PBE
State: relaxed

a b c (Å): 3.436 5.160 8.424
angles (deg): 90.00 90.00 90.00
Space group Cmm2 (No. 35)
Unique sites:
Mn 0.000 0.000 0.000 (multiplicity 2)
Zn 0.000 0.000 0.457 (multiplicity 2)
Zn 0.000 0.500 0.229 (multiplicity 2)
Cl 0.000 0.500 0.797 (multiplicity 2)

Output
V: 18.67 Å³/atom
spin magnetization: 8.1 μB/cell

four:
Material: MnZn2Cl
Method: DFT, GGA-PBE
State: relaxed

a b c (Å): 3.901 3.901 9.174
angles (deg): 90.00 90.00 90.00
Space group I-4m2 (No. 119)
Unique sites:
Mn 0.000 0.000 0.000 (multiplicity 2)
Zn 0.000 0.000 0.500 (multiplicity 2)
Zn 0.000 0.500 0.750 (multiplicity 2)
Cl 0.000 0.500 0.250 (multiplicity 2)

Output
V: 17.45 Å³/atom
spin magnetization: 7.9 μB/cell

Stability ranking, top and bottom: three is the most stable and two is the least stable.